No. 1
The following is a PBE-GGA calculation of a relaxed Sc2TaCl crystal, from Alexandria.

Cell and atoms, written as POSCAR:
```
Sc2TaCl
1.0
8.914 -0.006 -0.003
8.321 3.198 -0.003
8.321 1.541 2.802
Sc Ta Cl
2 1 1
Direct
0.495 0.495 0.495
0.005 0.005 0.005
0.250 0.250 0.250
0.750 0.750 0.750
```

Energy: -7.09 eV/atom
Energy relative to the lowest polymorph listed for this composition: 0.004 eV per atom

=====

No. 2
The following is a PBE-GGA calculation of a relaxed Ir2Os2Rh crystal, from Alexandria.

Cell and atoms, written as POSCAR:
```
Ir2Os2Rh
1.0
-0.831 -2.280 -3.421
-2.021 -1.263 1.333
-3.730 5.653 -0.296
Ir Os Rh
2 2 1
Direct
0.611 0.500 0.222
0.389 0.500 0.778
0.198 0.000 0.396
0.802 0.000 0.604
0.000 0.000 0.000
```

Energy: -9.27 eV/atom
Energy relative to the lowest polymorph listed for this composition: 0.263 eV per atom

=====

No. 3
The following is a PBE-GGA calculation of a relaxed SrCdCu2P crystal, from Alexandria.

Cell and atoms, written as POSCAR:
```
SrCdCu2P
1.0
-4.089 -3.393 -0.493
2.704 -2.674 -4.023
2.227 -3.212 3.632
Cu Sr P Cd
2 1 1 1
Direct
0.500 0.000 0.000
0.000 0.000 0.500
0.000 0.000 0.000
0.000 0.500 0.000
0.500 0.500 0.500
```

Energy: -2.03 eV/atom

=====

No. 4
The following is a PBE-GGA calculation of a relaxed SrZn3Rh crystal, from Alexandria.

Cell and atoms, written as POSCAR:
```
SrZn3Rh
1.0
6.593 0.016 0.004
-1.438 4.099 -0.002
3.571 1.253 7.695
Zn Rh Sr
6 2 2
Direct
0.375 0.180 0.632
0.968 0.975 0.647
0.978 0.481 0.119
0.846 0.415 0.461
0.159 0.572 0.785
0.016 0.000 0.273
0.613 0.799 0.592
0.967 0.977 0.956
0.565 0.274 0.907
0.453 0.719 0.315
```

Energy: -2.87 eV/atom
Energy relative to the lowest polymorph listed for this composition: 0.044 eV per atom

=====

No. 5
The following is a PBE-GGA calculation of a relaxed Ac2Pm2Pr4Sm crystal, from Alexandria.

Cell and atoms, written as POSCAR:
```
Ac2Pm2Pr4Sm
1.0
-1.993 1.600 -2.728
-6.521 -4.064 4.942
0.413 8.958 4.952
Pr Ac Pm Sm
4 2 2 1
Direct
0.489 0.978 0.679
0.830 0.660 0.776
0.511 0.022 0.321
0.170 0.340 0.224
0.163 0.326 0.580
0.837 0.674 0.420
0.664 0.329 0.919
0.336 0.671 0.081
0.000 0.000 0.000
```

Energy: -4.59 eV/atom

=====

No. 6
The following is a PBE-GGA calculation of a relaxed Na4CoB2 crystal, from Alexandria.

Cell and atoms, written as POSCAR:
```
Na4CoB2
1.0
-5.385 0.046 -0.790
-0.735 -2.292 4.882
-3.389 4.459 4.617
Na B Co
4 2 1
Direct
0.770 0.770 0.461
0.230 0.230 0.539
0.500 0.000 0.000
0.000 0.500 0.000
0.437 0.437 0.127
0.563 0.563 0.873
0.000 0.000 0.000
```

Energy: -2.65 eV/atom

=====

No. 7
The following is a PBE-GGA calculation of a relaxed Mn2NiRhN crystal, from Alexandria.

Cell and atoms, written as POSCAR:
```
Mn2NiRhN
1.0
3.926 0.000 0.000
0.000 3.926 0.000
0.000 0.000 3.753
Rh N Mn Ni
1 1 2 1
Direct
0.500 0.500 0.500
0.000 0.000 0.000
0.500 0.000 0.000
0.000 0.500 0.000
0.000 0.000 0.500
```

Energy: -8.09 eV/atom
Energy relative to the lowest polymorph listed for this composition: 0.000 eV per atom

=====

No. 8
The following is a PBE-GGA calculation of a relaxed Ga2SnSe4 crystal, from Alexandria.

Cell and atoms, written as POSCAR:
```
Ga2SnSe4
1.0
-3.395 3.935 3.489
-2.422 -5.559 -1.553
4.209 -4.347 8.997
Se Ga Sn
8 4 2
Direct
0.652 0.807 0.000
0.000 0.500 0.827
0.500 0.000 0.673
0.193 0.348 0.500
0.000 0.500 0.173
0.807 0.652 0.500
0.500 0.000 0.327
0.348 0.193 0.000
0.761 0.235 0.500
0.765 0.239 0.000
0.239 0.765 0.500
0.235 0.761 0.000
0.500 0.500 0.750
0.500 0.500 0.250
```

Energy: -3.96 eV/atom
Energy relative to the lowest polymorph listed for this composition: 0.000 eV per atom

=====

No. 9
The following is a PBE-GGA calculation of a relaxed Ac2Al2Hg crystal, from Alexandria.

Cell and atoms, written as POSCAR:
```
Ac2Al2Hg
1.0
-4.244 0.779 -2.598
4.662 -2.572 -3.506
-4.993 -7.342 5.956
Ac Al Hg
4 4 2
Direct
0.406 0.812 0.632
0.672 0.344 0.059
0.328 0.656 0.941
0.594 0.188 0.368
0.903 0.807 0.379
0.097 0.193 0.621
0.010 0.020 0.139
0.990 0.980 0.861
0.278 0.555 0.286
0.722 0.445 0.714
```

Energy: -3.53 eV/atom
Energy relative to the lowest polymorph listed for this composition: 0.044 eV per atom

=====

No. 10
The following is a PBE-GGA calculation of a relaxed Sc4ZnIr2 crystal, from Alexandria.

Cell and atoms, written as POSCAR:
```
Sc4ZnIr2
1.0
-1.567 -0.202 -4.322
2.170 -2.601 -3.115
-4.057 -6.654 -0.668
Sc Zn Ir
4 1 2
Direct
0.619 0.619 0.144
0.381 0.381 0.856
0.870 0.870 0.389
0.130 0.130 0.611
0.000 0.000 0.000
0.253 0.253 0.240
0.747 0.747 0.760
```

Energy: -7.07 eV/atom

=====

No. 11
The following is a PBE-GGA calculation of a relaxed YMg3Au3 crystal, from Alexandria.

Cell and atoms, written as POSCAR:
```
YMg3Au3
1.0
-6.227 2.753 2.361
-1.610 -6.302 3.102
3.250 2.152 6.061
Mg Au Y
6 6 2
Direct
0.000 0.250 0.500
0.250 0.500 0.000
0.000 0.750 0.500
0.750 0.500 0.000
0.500 0.000 0.750
0.500 0.000 0.250
0.000 0.500 0.250
0.500 0.750 0.000
0.000 0.500 0.750
0.750 0.000 0.500
0.250 0.000 0.500
0.500 0.250 0.000
0.000 0.000 0.000
0.500 0.500 0.500
```

Energy: -3.07 eV/atom

=====

No. 12
The following is a PBE-GGA calculation of a relaxed Ce2DyC2Cl2 crystal, from Alexandria.

Cell and atoms, written as POSCAR:
```
Ce2DyC2Cl2
1.0
4.609 0.000 0.000
0.000 4.609 0.000
-2.304 -2.304 7.062
Ce C Cl Dy
2 2 2 1
Direct
0.404 0.404 0.807
0.596 0.596 0.193
0.500 0.000 0.000
0.000 0.500 0.000
0.802 0.802 0.604
0.198 0.198 0.396
0.000 0.000 0.000
```

Energy: -6.32 eV/atom

=====

No. 13
The following is a PBE-GGA calculation of a relaxed LaMoCl crystal, from Alexandria.

Cell and atoms, written as POSCAR:
```
LaMoCl
1.0
4.778 0.000 0.000
2.389 4.137 0.000
2.389 1.379 3.901
La Cl Mo
1 1 1
Direct
0.000 0.000 0.000
0.750 0.750 0.750
0.500 0.500 0.500
```

Energy: -5.42 eV/atom
Energy relative to the lowest polymorph listed for this composition: 0.317 eV per atom

=====

No. 14
The following is a PBE-GGA calculation of a relaxed UTl2CrS4 crystal, from Alexandria.

Cell and atoms, written as POSCAR:
```
UTl2CrS4
1.0
-3.199 -2.016 -0.755
3.227 -5.450 0.881
-2.992 2.030 7.256
S Cr U Tl
4 1 1 2
Direct
0.500 0.792 0.824
0.500 0.208 0.176
0.000 0.749 0.189
0.000 0.251 0.811
0.000 0.000 0.000
0.500 0.500 0.000
0.000 0.500 0.500
0.500 0.000 0.500
```

Energy: -6.06 eV/atom

=====

No. 15
The following is a PBE-GGA calculation of a relaxed Np2Ga8Rh crystal, from Alexandria.

Cell and atoms, written as POSCAR:
```
Np2Ga8Rh
1.0
-4.022 1.348 -0.673
-0.282 -2.559 -3.437
-3.855 -8.269 6.473
Ga Rh Np
8 1 2
Direct
0.000 0.500 0.876
0.500 0.000 0.124
0.500 0.000 0.876
0.500 0.500 0.692
0.500 0.500 0.308
0.500 0.000 0.500
0.000 0.500 0.500
0.000 0.500 0.124
0.000 0.000 0.000
0.000 0.000 0.691
0.000 0.000 0.309
```

Energy: -5.56 eV/atom

=====

No. 16
The following is a PBE-GGA calculation of a relaxed AcPmTe2 crystal, from Alexandria.

Cell and atoms, written as POSCAR:
```
AcPmTe2
1.0
-3.889 -1.969 0.829
-1.162 -0.947 4.177
-5.233 6.319 2.334
Te Ac Pm
2 1 1
Direct
0.245 0.245 0.264
0.088 0.088 0.736
0.671 0.671 0.988
0.496 0.496 0.513
```

Energy: -5.21 eV/atom
Energy relative to the lowest polymorph listed for this composition: 0.017 eV per atom

=====

No. 17
The following is a PBE-GGA calculation of a relaxed Ag4SnHg crystal, from Alexandria.

Cell and atoms, written as POSCAR:
```
Ag4SnHg
1.0
-4.909 2.430 -1.142
-3.759 -2.649 -3.188
-4.704 -1.987 2.287
Hg Ag Sn
1 4 1
Direct
0.250 0.250 0.250
0.625 0.125 0.625
0.625 0.625 0.625
0.625 0.625 0.125
0.125 0.625 0.625
0.000 0.000 0.000
```

Energy: -2.53 eV/atom
Energy relative to the lowest polymorph listed for this composition: 0.045 eV per atom

=====

No. 18
The following is a PBE-GGA calculation of a relaxed CaTlGa4 crystal, from Alexandria.

Cell and atoms, written as POSCAR:
```
CaTlGa4
1.0
-2.680 -2.295 -4.526
2.926 -3.231 -3.733
-0.913 -5.661 -0.227
Tl Ca Ga
1 1 4
Direct
0.000 0.000 0.000
0.250 0.250 0.250
0.126 0.625 0.625
0.625 0.126 0.625
0.625 0.625 0.126
0.625 0.625 0.625
```

Energy: -2.94 eV/atom

=====

No. 19
The following is a PBE-GGA calculation of a relaxed K2CdSiS4 crystal, from Alexandria.

Cell and atoms, written as POSCAR:
```
K2CdSiS4
1.0
7.984 -0.011 -0.360
-0.017 7.984 -0.360
-4.183 -4.186 5.998
Si S Cd K
2 8 2 4
Direct
0.000 0.000 0.000
0.500 0.500 0.500
0.189 0.778 0.983
0.245 0.256 0.444
0.278 0.689 0.483
0.722 0.311 0.517
0.755 0.744 0.556
0.811 0.222 0.017
0.244 0.255 0.056
0.756 0.745 0.944
0.000 0.500 0.000
0.000 0.500 0.500
0.500 0.000 0.000
0.000 0.000 0.500
0.500 0.500 0.000
0.500 0.000 0.500
```

Energy: -3.79 eV/atom

=====

No. 20
The following is a PBE-GGA calculation of a relaxed BeFeW2 crystal, from Alexandria.

Cell and atoms, written as POSCAR:
```
BeFeW2
1.0
-1.622 0.599 2.076
0.091 -2.575 0.814
5.631 1.457 3.979
W Fe Be
2 1 1
Direct
0.000 0.000 0.495
0.000 0.000 0.005
0.500 0.500 0.750
0.500 0.500 0.250
```

Energy: -9.35 eV/atom

=====

No. 21
The following is a PBE-GGA calculation of a relaxed LiAcIr crystal, from Alexandria.

Cell and atoms, written as POSCAR:
```
LiAcIr
1.0
-3.629 1.519 -2.735
-4.249 0.981 1.986
-1.505 4.538 0.320
Ir Li Ac
1 1 1
Direct
0.250 0.250 0.250
0.500 0.500 0.500
0.000 0.000 0.000
```

Energy: -5.20 eV/atom
Energy relative to the lowest polymorph listed for this composition: 0.193 eV per atom

=====

No. 22
The following is a PBE-GGA calculation of a relaxed ZnW5 crystal, from Alexandria.

Cell and atoms, written as POSCAR:
```
ZnW5
1.0
-2.743 3.869 -1.028
0.583 -3.507 -3.303
-3.788 -2.233 1.702
W Zn
5 1
Direct
0.667 0.333 0.500
0.665 0.000 0.000
0.000 0.665 0.000
0.333 0.667 0.500
0.335 0.335 0.000
0.000 0.000 0.500
```

Energy: -10.56 eV/atom
Energy relative to the lowest polymorph listed for this composition: 0.239 eV per atom

=====

No. 23
The following is a PBE-GGA calculation of a relaxed Ho2ZrBi2N2 crystal, from Alexandria.

Cell and atoms, written as POSCAR:
```
Ho2ZrBi2N2
1.0
-2.649 -2.286 2.414
3.219 -0.991 2.594
-1.900 8.325 2.055
N Ho Bi Zr
2 2 2 1
Direct
0.500 0.000 0.000
0.000 0.500 0.000
0.595 0.595 0.189
0.405 0.405 0.811
0.808 0.808 0.617
0.192 0.192 0.383
0.000 0.000 0.000
```

Energy: -6.97 eV/atom

=====

No. 24
The following is a PBE-GGA calculation of a relaxed NdB4 crystal, from Alexandria.

Cell and atoms, written as POSCAR:
```
NdB4
1.0
-1.804 2.821 3.329
1.804 -2.821 3.329
1.804 2.821 -3.329
Nd B
1 4
Direct
0.000 0.000 0.000
0.480 0.628 0.852
0.224 0.372 0.852
0.520 0.372 0.148
0.776 0.628 0.148
```

Energy: -5.73 eV/atom
Energy relative to the lowest polymorph listed for this composition: 1.122 eV per atom

=====

No. 25
The following is a PBE-GGA calculation of a relaxed LiEr4Rh5 crystal, from Alexandria.

Cell and atoms, written as POSCAR:
```
LiEr4Rh5
1.0
-1.554 2.367 -1.807
-2.899 -0.738 1.527
3.275 10.927 11.497
Rh Er Li
5 4 1
Direct
0.500 0.500 0.291
0.500 0.500 0.500
0.500 0.500 0.914
0.500 0.500 0.086
0.500 0.500 0.709
0.000 0.000 0.819
0.000 0.000 0.394
0.000 0.000 0.181
0.000 0.000 0.606
0.000 0.000 0.000
```

Energy: -6.47 eV/atom

=====

| no. | total magnetization (Bohr magnetons per cell) | calculated volume (Å³/atom) | ρ (g/cm3) |
| --- | --- | --- | --- |
| 1 | 0.000 | 20.02 | 6.35 |
| 2 | 0.000 | 14.77 | 19.51 |
| 3 | 0.000 | 31.52 | 3.77 |
| 4 | 0.000 | 20.81 | 6.17 |
| 5 | 0.000 | 37.56 | 7.16 |
| 6 | 1.803 | 26.05 | 1.57 |
| 7 | 6.876 | 11.57 | 8.20 |
| 8 | 0.000 | 26.51 | 5.14 |
| 9 | 0.000 | 28.85 | 8.16 |
| 10 | 0.000 | 19.28 | 7.75 |
| 11 | 0.000 | 26.73 | 6.68 |
| 12 | 1.070 | 21.43 | 5.95 |
| 13 | 3.934 | 25.70 | 5.82 |
| 14 | 5.912 | 24.02 | 7.15 |
| 15 | 7.720 | 18.76 | 9.13 |
| 16 | 0.000 | 34.68 | 7.51 |
| 17 | 0.000 | 20.65 | 10.06 |
| 18 | 0.000 | 22.27 | 6.50 |
| 19 | 0.000 | 22.39 | 3.22 |
| 20 | 0.315 | 12.86 | 13.96 |
| 21 | 0.176 | 25.93 | 9.10 |
| 22 | 0.000 | 16.03 | 17.00 |
| 23 | 0.000 | 21.30 | 9.66 |
| 24 | 0.000 | 13.55 | 4.60 |
| 25 | 0.000 | 18.27 | 10.82 |